Computed, not measured: a geometry-optimized RbHoSiSe4 structure at the GGA-PBE level of DFT.

Output
**Formation energy (no corrections)**: -1.220 eV/atom
**Total energy**: -4.7783 eV per atom

```
data_RbHoSiSe4
_cell_length_a 6.664
_cell_length_b 7.007
_cell_length_c 9.446
_cell_angle_alpha 90.00
_cell_angle_beta 108.20
_cell_angle_gamma 90.00
_space_group_name_H-M_alt 'P 1 21/m 1'
_space_group_IT_number 11
_space_group_name_Hall '-P 2yb'
loop_
_atom_site_label
_atom_site_type_symbol
_atom_site_fract_x
_atom_site_fract_y
_atom_site_fract_z
_atom_site_occupancy
Rb1 Rb 0.246 0.250 0.440 1
Ho1 Ho 0.273 0.250 0.951 1
Si1 Si 0.279 0.750 0.165 1
Se1 Se 0.068 0.750 0.924 1
Se2 Se 0.082 0.750 0.322 1
Se3 Se 0.491 0.503 0.797 1
```

***

Computed, not measured: a geometry-optimized SrMgBeO3 structure at the GGA-PBE level of DFT.

Output
**Formation energy (no corrections)**: -2.652 eV/atom
**Total energy**: -6.2982 eV per atom

```
data_SrMgBeO3
_cell_length_a 3.169
_cell_length_b 10.868
_cell_length_c 7.922
_cell_angle_alpha 90.00
_cell_angle_beta 90.00
_cell_angle_gamma 90.00
_space_group_name_H-M_alt 'C m c m'
_space_group_IT_number 63
_space_group_name_Hall '-C 2c 2'
loop_
_atom_site_label
_atom_site_type_symbol
_atom_site_fract_x
_atom_site_fract_y
_atom_site_fract_z
_atom_site_occupancy
Sr1 Sr 0.000 0.236 0.250 1
Mg1 Mg 0.000 0.500 0.000 1
Be1 Be 0.000 0.043 0.750 1
O1 O 0.000 0.120 0.580 1
O2 O 0.000 0.453 0.750 1
```

***

Computed, not measured: a geometry-optimized AuIBr2 structure at the GGA-PBE level of DFT.

Output
**Formation energy (no corrections)**: 0.150 eV/atom
**Total energy**: -1.8938 eV per atom
**Offset from the most stable computed form**: 80.6 kJ/mol of formula units

```
data_AuIBr2
_cell_length_a 10.455
_cell_length_b 10.455
_cell_length_c 5.732
_cell_angle_alpha 90.00
_cell_angle_beta 90.00
_cell_angle_gamma 90.00
_space_group_name_H-M_alt 'I 41/a m d'
_space_group_IT_number 141
loop_
_space_group_symop_operation_xyz
'x,y,z'
'-x,-y,-z'
'-y+1/4,x+3/4,z+1/4'
'y+1/4,-x+3/4,-z+1/4'
'-x+1/2,-y,z+1/2'
'x+1/2,y,-z+1/2'
'y+1/4,-x+1/4,z+3/4'
'-y+1/4,x+1/4,-z+3/4'
'x,-y,-z'
'-x,y,z'
'-y+1/4,-x+1/4,-z+3/4'
'y+1/4,x+1/4,z+3/4'
'-x+1/2,y,-z+1/2'
'x+1/2,-y,z+1/2'
'y+1/4,x+3/4,-z+1/4'
'-y+1/4,-x+3/4,z+1/4'
'x+1/2,y+1/2,z+1/2'
'-x+1/2,-y+1/2,-z+1/2'
'-y+3/4,x+1/4,z+3/4'
'y+3/4,-x+1/4,-z+3/4'
'-x,-y+1/2,z'
'x,y+1/2,-z'
'y+3/4,-x+3/4,z+1/4'
'-y+3/4,x+3/4,-z+1/4'
'x+1/2,-y+1/2,-z+1/2'
'-x+1/2,y+1/2,z+1/2'
'-y+3/4,-x+3/4,-z+1/4'
'y+3/4,x+3/4,z+1/4'
'-x,y+1/2,-z'
'x,-y+1/2,z'
'y+3/4,x+1/4,-z+3/4'
'-y+3/4,-x+1/4,z+3/4'
loop_
_atom_site_label
_atom_site_type_symbol
_atom_site_fract_x
_atom_site_fract_y
_atom_site_fract_z
_atom_site_occupancy
Au1 Au 0.000 0.250 0.375 1
I1 I 0.000 0.250 0.875 1
Br1 Br 0.000 0.000 0.500 1
```

***

Computed, not measured: a geometry-optimized Rb2PdOF6 structure at the GGA-PBE level of DFT.

Output
**Formation energy (no corrections)**: -1.594 eV/atom
**Total energy**: -3.9259 eV per atom

```
data_Rb2PdOF6
_cell_length_a 6.198
_cell_length_b 6.198
_cell_length_c 9.327
_cell_angle_alpha 90.00
_cell_angle_beta 90.00
_cell_angle_gamma 90.00
_space_group_name_H-M_alt 'I 4/m m m'
_space_group_IT_number 139
_space_group_name_Hall '-I 4 2'
loop_
_atom_site_label
_atom_site_type_symbol
_atom_site_fract_x
_atom_site_fract_y
_atom_site_fract_z
_atom_site_occupancy
Rb1 Rb 0.000 0.500 0.250 1
Pd1 Pd 0.000 0.000 0.000 1
O1 O 0.000 0.000 0.500 1
F1 F 0.000 0.000 0.210 1
F2 F 0.223 0.223 0.000 1
```